(1)
A relaxed structure of Dy2CdSO6. Source: the Open Quantum Materials Database, functional GGA-PBE.

For the total moment, the calculation gives 0.01 μB/f.u. Its crystal system is triclinic. The calculation puts the electronic total energy at -131.49 eV for the cell shown.

The structure belongs to space group P-1 (No. 2); the cell edges are 6.521, 7.017 and 7.804 Å and the angles 73.79°, 66.71° and 89.25°. The asymmetric unit holds Dy at (0.136, 0.182, 0.022), Dy at (0.153, 0.251, 0.486), Cd at (0.313, 0.656, 0.943), S at (0.356, 0.767, 0.408), O at (0.046, 0.099, 0.799), O at (0.193, 0.589, 0.457), O at (0.201, 0.913, 0.479), O at (0.293, 0.297, 0.178), O at (0.489, 0.839, 0.196) and O at (0.498, 0.714, 0.516).



(2)
A relaxed structure of Zr4AlAuC2. Source: the Open Quantum Materials Database, functional GGA-PBE.

For the total moment, the calculation gives 0.01 μB/f.u. Its crystal system is hexagonal. The calculation puts the electronic total energy at -64.83 eV for the cell shown.

The structure belongs to space group P-6m2 (No. 187); the cell edges are 3.3292, 3.3292 and 14.4456 Å and the angles 90.00°, 90.00° and 120.00°. The asymmetric unit holds Zr at (0.0000, 0.0000, 0.1590), Zr at (0.3333, 0.6667, 0.3368), Al at (0.0000, 0.0000, 0.5000), Au at (0.3333, 0.6667, 0.0000) and C at (0.6667, 0.3333, 0.2486).



Q: What is the electronic total energy in the first record?
A: -131.49 eV for the cell shown



Q: Which formula does entry 2 have?
A: Zr4AlAuC2



Q: Number 2 is which compound?
A: Zr4AlAuC2



Q: Number 2 is which compound?
A: Zr4AlAuC2